[1]
Density functional theory data (PBE) for a relaxed structure of Ho3ClO4.

calculated total energy	-7.845	eV per atom
energy relative to the lowest polymorph listed for this composition	0.0000	eV/atom
size of the total moment	0.00	μB per cell

a = 6.1133 Å, b = 6.1133 Å, c = 11.5361 Å
α = 90.00°, β = 90.00°, γ = 141.81°
Fractional coordinates of all 16 atoms:
O  0.1984  0.8016  0.7500
O  0.2664  0.7336  0.0891
O  0.4396  0.5605  0.7500
O  0.8016  0.1984  0.2500
O  0.7336  0.2664  0.5891
O  0.7336  0.2664  0.9109
O  0.5605  0.4396  0.2500
O  0.2664  0.7336  0.4109
Cl  0.0000  0.0000  0.5000
Cl  0.0000  0.0000  0.0000
Ho  0.3210  0.6790  0.8988
Ho  0.3756  0.6244  0.2500
Ho  0.6244  0.3756  0.7500
Ho  0.6790  0.3210  0.1012
Ho  0.6790  0.3210  0.3988
Ho  0.3210  0.6790  0.6012



[2]
Density functional theory data (PBE) for a relaxed structure of HoSeClO3.

calculated total energy	-6.165	eV per atom
size of the total moment	0.01	μB per cell

a = 7.1330 Å, b = 6.9076 Å, c = 8.7624 Å
α = 90.00°, β = 90.00°, γ = 90.00°
Fractional coordinates of all 24 atoms:
O  0.8545  0.4289  0.9340
O  0.1455  0.9289  0.0660
O  0.6455  0.5711  0.4340
O  0.8545  0.0711  0.9340
O  0.2464  0.7500  0.3231
O  0.3545  0.0711  0.5660
O  0.2536  0.2500  0.8231
O  0.3545  0.4289  0.5660
O  0.7536  0.2500  0.6769
O  0.7464  0.7500  0.1769
O  0.1455  0.5711  0.0660
O  0.6455  0.9289  0.4340
Ho  0.1031  0.2500  0.0407
Ho  0.8969  0.7500  0.9593
Ho  0.6031  0.2500  0.4593
Ho  0.3969  0.7500  0.5407
Cl  0.5544  0.7500  0.8205
Cl  0.9456  0.2500  0.3205
Cl  0.0544  0.7500  0.6795
Cl  0.4456  0.2500  0.1795
Se  0.2972  0.7500  0.1339
Se  0.7028  0.2500  0.8661
Se  0.2028  0.2500  0.6339
Se  0.7972  0.7500  0.3661